{
  "formula": "Mg4Cu",
  "functional": "PBE-GGA",
  "state": "optimized geometry",
  "lattice": [[5.301, -2.189, -1.199], [-3.304, 4.542, 1.667], [-0.422, -2.738, 5.163]],
  "species": ["Mg", "Mg", "Cu", "Mg", "Mg"],
  "frac_coords": [[0.577, 0.229, 0.806], [0.771, 0.577, 0.348], [0.000, 0.000, 0.000], [0.423, 0.771, 0.194], [0.229, 0.423, 0.652]],
  "delta_e_f_ev_per_atom": -0.025,
  "magnetic_moment_mub_per_fu": 0.00,
  "energy_ev_per_fu": -10.597
}


{
  "formula": "CuSi2Ni",
  "functional": "PBE-GGA",
  "state": "optimized geometry",
  "lattice": [[4.520, -0.002, -0.001], [1.638, 4.213, 0.001], [-3.069, -2.119, 2.553]],
  "species": ["Ni", "Si", "Si", "Cu"],
  "frac_coords": [[0.250, 0.750, 0.500], [0.750, 0.250, 0.500], [0.000, 0.000, 0.000], [0.500, 0.500, 0.000]],
  "e_form_raw_ev_per_atom": -0.046,
  "magnetic_moment_mub_per_fu": 0.00,
  "energy_ev_per_fu": -20.908
}


{
  "formula": "PaTaNi2",
  "functional": "PBE-GGA",
  "state": "optimized geometry",
  "lattice": [[3.130, 0.000, 0.000], [0.000, 3.130, 0.000], [0.000, 0.000, 6.745]],
  "species": ["Ta", "Ni", "Ni", "Pa"],
  "frac_coords": [[0.500, 0.500, 0.000], [0.000, 0.000, 0.204], [0.000, 0.000, 0.796], [0.500, 0.500, 0.500]],
  "delta_e_f_ev_per_atom": -0.144,
  "magnetic_moment_mub_per_fu": 0.00,
  "energy_ev_per_fu": -33.485,
  "de_polymorph_ev_per_fu": 0.00
}


Question: Which formula does entry 2 have?
Answer: CuSi2Ni


Please write out number 1 again, unchanged.
{
  "formula": "Mg4Cu",
  "functional": "PBE-GGA",
  "state": "optimized geometry",
  "lattice": [[5.301, -2.189, -1.199], [-3.304, 4.542, 1.667], [-0.422, -2.738, 5.163]],
  "species": ["Mg", "Mg", "Cu", "Mg", "Mg"],
  "frac_coords": [[0.577, 0.229, 0.806], [0.771, 0.577, 0.348], [0.000, 0.000, 0.000], [0.423, 0.771, 0.194], [0.229, 0.423, 0.652]],
  "delta_e_f_ev_per_atom": -0.025,
  "magnetic_moment_mub_per_fu": 0.00,
  "energy_ev_per_fu": -10.597
}